Computed, not measured: crystalline PS2F at its relaxed geometry at the PBE level of DFT.

a b c (Å): 4.2318 4.2318 4.2318
angles (deg): 60.00 60.00 60.00
Positions (direct):
P: 0.5000 0.5000 0.5000
S: 0.2500 0.2500 0.2500
S: 0.7500 0.7500 0.7500
F: 0.0000 0.0000 0.0000

- space group = Fm-3m (225)
- density of states at the Fermi level (states/eV per atom) = 0.896
- E above lowest polymorph (eV per atom) = 1.132
- E_form (uncorrected) (eV/atom) = 0.314